#1
TbSmGePt: relaxed, PBE.

The density of states at the Fermi level is 4.30 states/eV per cell. As for the magnetic moment: 0.00 Bohr magnetons per cell.

Cell lengths 4.278, 4.008, 11.032 Å; angles 90.00, 90.00, 90.00 degrees
Element x y z (fractional)
Tb 0.000 0.000 0.000
Tb 0.000 0.500 0.500
Sm 0.500 0.000 0.278
Sm 0.500 0.500 0.778
Ge 0.000 0.000 0.716
Ge 0.000 0.500 0.216
Pt 0.500 0.000 0.551
Pt 0.500 0.500 0.051

#2
TbSmGePt: relaxed, PBE.

The density of states at the Fermi level is 5.47 states/eV per cell. As for the magnetic moment: 0.00 Bohr magnetons per cell.

Cell lengths 7.173, 7.173, 7.173 Å; angles 90.00, 90.00, 90.00 degrees
Element x y z (fractional)
Tb 0.000 0.000 0.000
Tb 0.000 0.500 0.500
Tb 0.500 0.000 0.500
Tb 0.500 0.500 0.000
Sm 0.000 0.000 0.500
Sm 0.000 0.500 0.000
Sm 0.500 0.000 0.000
Sm 0.500 0.500 0.500
Ge 0.250 0.250 0.250
Ge 0.250 0.750 0.750
Ge 0.750 0.250 0.750
Ge 0.750 0.750 0.250
Pt 0.250 0.250 0.750
Pt 0.250 0.750 0.250
Pt 0.750 0.250 0.250
Pt 0.750 0.750 0.750

Which structure above is the least stable one? #2 is the least stable one.